This record from Alexandria describes AcTh4Sb5 after structural relaxation. The functional is PBE.

Summary:
Final energy, eV per atom: -6.401
Symmetry: C2/m, No. 12

a = 4.549 Å, b = 7.911 Å, c = 10.185 Å
α = 75.00°, β = 77.09°, γ = 73.29°
Fractional positions:
Sb (0.797, 0.095, 0.310)
Sb (0.608, 0.680, 0.103)
Sb (0.392, 0.320, 0.897)
Sb (0.203, 0.905, 0.690)
Sb (0.000, 0.500, 0.500)
Th (0.404, 0.794, 0.397)
Th (0.203, 0.389, 0.206)
Th (0.596, 0.206, 0.603)
Th (0.797, 0.611, 0.794)
Ac (0.000, 0.000, 0.000)